Entry from the Alexandria database: crystalline CoRePbO2 at its relaxed geometry (PBE+U).

M_tot in μB per formula unit: 2.18
Mass density in g/cm3: 9.099
Crystal system: tetragonal
DFT total energy in eV/atom: -6.6396
SG: P4/mmm, No. 123

Geometry as POSCAR:
```
CoRePbO2
1.0
3.8032 0.0000 0.0000
0.0000 6.1106 0.0000
0.0000 0.0000 3.8032
Pb Re Co O
1 1 1 2
Cartesian
0.0000 3.0553 0.0000
0.0000 0.0000 0.0000
1.9016 3.0553 1.9016
0.0000 0.0000 1.9016
1.9016 0.0000 0.0000
```